No. 1
A plane-wave DFT calculation with PBE was carried out for Tl3SnBr6 after structural relaxation.

Results
E above lowest polymorph   0.009 eV per atom
Symmetry   P2_1/c, No. 14
E_form (uncorrected)   -0.777 eV/atom
Magnetic moment   0.00 μB/cell

Unit cell a=7.751 b=8.469 c=13.590 alpha=90.00 beta=123.24 gamma=90.00
Fractional positions:
Tl: 0.000 0.000 0.000
Tl: 0.000 0.500 0.500
Tl: 0.210 0.082 0.744
Tl: 0.210 0.418 0.244
Tl: 0.790 0.582 0.756
Tl: 0.790 0.918 0.256
Sn: 0.500 0.000 0.500
Sn: 0.500 0.500 0.000
Br: 0.152 0.176 0.449
Br: 0.152 0.324 0.949
Br: 0.264 0.718 0.430
Br: 0.264 0.782 0.930
Br: 0.394 0.048 0.268
Br: 0.394 0.452 0.768
Br: 0.606 0.548 0.232
Br: 0.606 0.952 0.732
Br: 0.736 0.218 0.070
Br: 0.736 0.282 0.570
Br: 0.848 0.676 0.051
Br: 0.848 0.824 0.551

=====

No. 2
A plane-wave DFT calculation with PBE was carried out for Tl4Sn3Br10 after structural relaxation.

Results
Symmetry   I4/mmm, No. 139
E_form (uncorrected)   -0.763 eV/atom
Magnetic moment   0.00 μB/cell

Unit cell a=20.222 b=20.222 c=20.222 alpha=163.35 beta=163.35 gamma=23.63
Fractional positions:
Tl: 0.063 0.063 0.000
Tl: 0.198 0.198 0.000
Tl: 0.802 0.802 0.000
Tl: 0.937 0.937 0.000
Sn: 0.349 0.349 0.000
Sn: 0.500 0.500 0.000
Sn: 0.651 0.651 0.000
Br: 0.000 0.500 0.500
Br: 0.147 0.647 0.500
Br: 0.278 0.278 0.000
Br: 0.353 0.853 0.500
Br: 0.427 0.427 0.000
Br: 0.500 0.000 0.500
Br: 0.573 0.573 0.000
Br: 0.647 0.147 0.500
Br: 0.722 0.722 0.000
Br: 0.853 0.353 0.500

=====

No. 3
A plane-wave DFT calculation with PBE was carried out for TlSn4Br8 after structural relaxation.

Results
E above lowest polymorph   0.013 eV per atom
Symmetry   F-43m, No. 216
E_form (uncorrected)   -0.645 eV/atom
Magnetic moment   0.00 μB/cell

Unit cell a=9.225 b=9.225 c=9.225 alpha=60.00 beta=60.00 gamma=60.00
Fractional positions:
Tl: 0.000 0.000 0.000
Sn: 0.379 0.379 0.379
Sn: 0.379 0.379 0.864
Sn: 0.379 0.864 0.379
Sn: 0.864 0.379 0.379
Br: 0.141 0.141 0.141
Br: 0.141 0.141 0.576
Br: 0.141 0.576 0.141
Br: 0.169 0.610 0.610
Br: 0.576 0.141 0.141
Br: 0.610 0.169 0.610
Br: 0.610 0.610 0.169
Br: 0.610 0.610 0.610

=====

No. 4
A plane-wave DFT calculation with PBE was carried out for TlSnBr4 after structural relaxation.

Results
E above lowest polymorph   0.000 eV per atom
Symmetry   C2/c, No. 15
E_form (uncorrected)   -0.678 eV/atom
Magnetic moment   0.00 μB/cell

Unit cell a=9.183 b=9.183 c=6.952 alpha=107.38 beta=107.38 gamma=114.77
Fractional positions:
Tl: 0.140 0.860 0.750
Tl: 0.860 0.140 0.250
Sn: 0.417 0.583 0.250
Sn: 0.583 0.417 0.750
Br: 0.139 0.549 0.329
Br: 0.228 0.322 0.779
Br: 0.322 0.228 0.279
Br: 0.451 0.861 0.171
Br: 0.549 0.139 0.829
Br: 0.678 0.772 0.721
Br: 0.772 0.678 0.221
Br: 0.861 0.451 0.671

=====

No. 5
A plane-wave DFT calculation with PBE was carried out for Tl2SnBr after structural relaxation.

Results
E above lowest polymorph   0.139 eV per atom
Symmetry   Fm-3m, No. 225
E_form (uncorrected)   -0.100 eV/atom
Magnetic moment   0.00 μB/cell

Unit cell a=5.544 b=5.544 c=5.544 alpha=60.00 beta=60.00 gamma=60.00
Fractional positions:
Tl: 0.250 0.250 0.250
Tl: 0.750 0.750 0.750
Sn: 0.000 0.000 0.000
Br: 0.500 0.500 0.500

=====

No. 6
A plane-wave DFT calculation with PBE was carried out for TlSn2Br2 after structural relaxation.

Results
E above lowest polymorph   0.000 eV per atom
Symmetry   I4/mmm, No. 139
E_form (uncorrected)   -0.366 eV/atom
Magnetic moment   0.00 μB/cell

Unit cell a=9.594 b=9.594 c=9.594 alpha=154.25 beta=154.25 gamma=36.74
Fractional positions:
Tl: 0.000 0.000 0.000
Sn: 0.250 0.750 0.500
Sn: 0.750 0.250 0.500
Br: 0.398 0.398 0.000
Br: 0.602 0.602 0.000

=====

No. 7
A plane-wave DFT calculation with PBE was carried out for Tl2SnBr2 after structural relaxation.

Results
Symmetry   P4/mbm, No. 127
E_form (uncorrected)   -0.357 eV/atom
Magnetic moment   0.00 μB/cell

Unit cell a=8.247 b=8.247 c=4.994 alpha=90.00 beta=90.00 gamma=90.00
Fractional positions:
Tl: 0.164 0.336 0.000
Tl: 0.336 0.836 0.000
Tl: 0.664 0.164 0.000
Tl: 0.836 0.664 0.000
Sn: 0.000 0.000 0.500
Sn: 0.500 0.500 0.500
Br: 0.160 0.660 0.500
Br: 0.340 0.160 0.500
Br: 0.660 0.840 0.500
Br: 0.840 0.340 0.500

=====

No. 8
A plane-wave DFT calculation with PBE was carried out for Tl3SnBr after structural relaxation.

Results
E above lowest polymorph   0.187 eV per atom
Symmetry   Pm-3m, No. 221
E_form (uncorrected)   0.199 eV/atom
Magnetic moment   0.00 μB/cell

Unit cell a=5.990 b=5.990 c=5.990 alpha=90.00 beta=90.00 gamma=90.00
Fractional positions:
Tl: 0.000 0.000 0.500
Tl: 0.000 0.500 0.000
Tl: 0.500 0.000 0.000
Sn: 0.500 0.500 0.500
Br: 0.000 0.000 0.000

=====

No. 9
A plane-wave DFT calculation with PBE was carried out for TlSn2Br2 after structural relaxation.

Results
E above lowest polymorph   0.089 eV per atom
Symmetry   P4/mbm, No. 127
E_form (uncorrected)   -0.277 eV/atom
Magnetic moment   0.00 μB/cell

Unit cell a=7.911 b=7.911 c=5.576 alpha=90.00 beta=90.00 gamma=90.00
Fractional positions:
Tl: 0.000 0.000 0.000
Tl: 0.500 0.500 0.000
Sn: 0.136 0.364 0.000
Sn: 0.364 0.864 0.000
Sn: 0.636 0.136 0.000
Sn: 0.864 0.636 0.000
Br: 0.202 0.298 0.500
Br: 0.298 0.798 0.500
Br: 0.702 0.202 0.500
Br: 0.798 0.702 0.500

=====

No. 10
A plane-wave DFT calculation with PBE was carried out for TlSnBr4 after structural relaxation.

Results
E above lowest polymorph   0.006 eV per atom
Symmetry   I4_1/amd, No. 141
E_form (uncorrected)   -0.672 eV/atom
Magnetic moment   0.00 μB/cell

Unit cell a=8.963 b=8.963 c=8.963 alpha=104.38 beta=104.38 gamma=120.23
Fractional positions:
Tl: 0.375 0.625 0.750
Tl: 0.625 0.375 0.250
Sn: 0.125 0.875 0.250
Sn: 0.875 0.125 0.750
Br: 0.120 0.684 0.436
Br: 0.253 0.316 0.936
Br: 0.316 0.253 0.436
Br: 0.316 0.880 0.064
Br: 0.684 0.120 0.936
Br: 0.684 0.747 0.564
Br: 0.747 0.684 0.064
Br: 0.880 0.316 0.564

=====

No. 11
A plane-wave DFT calculation with PBE was carried out for Tl5SnBr8 after structural relaxation.

Results
Symmetry   I-4, No. 82
E_form (uncorrected)   -0.734 eV/atom
Magnetic moment   0.00 μB/cell

Unit cell a=8.468 b=8.468 c=8.468 alpha=109.68 beta=109.68 gamma=109.06
Fractional positions:
Tl: 0.000 0.000 0.000
Tl: 0.246 0.623 0.132
Tl: 0.377 0.509 0.623
Tl: 0.491 0.114 0.868
Tl: 0.886 0.754 0.377
Sn: 0.750 0.250 0.500
Br: 0.104 0.712 0.742
Br: 0.109 0.241 0.731
Br: 0.288 0.030 0.392
Br: 0.510 0.378 0.269
Br: 0.622 0.891 0.132
Br: 0.638 0.896 0.608
Br: 0.759 0.490 0.868
Br: 0.970 0.362 0.258

=====

No. 12
A plane-wave DFT calculation with PBE was carried out for Tl3SnBr6 after structural relaxation.

Results
E above lowest polymorph   0.000 eV per atom
Symmetry   R-3, No. 148
E_form (uncorrected)   -0.786 eV/atom
Magnetic moment   0.00 μB/cell

Unit cell a=9.259 b=9.259 c=9.259 alpha=92.30 beta=92.30 gamma=92.30
Fractional positions:
Tl: 0.032 0.571 0.737
Tl: 0.263 0.968 0.429
Tl: 0.429 0.263 0.968
Tl: 0.571 0.737 0.032
Tl: 0.737 0.032 0.571
Tl: 0.968 0.429 0.263
Sn: 0.000 0.000 0.000
Sn: 0.500 0.500 0.500
Br: 0.037 0.923 0.688
Br: 0.077 0.312 0.963
Br: 0.302 0.311 0.590
Br: 0.311 0.590 0.302
Br: 0.312 0.963 0.077
Br: 0.410 0.698 0.689
Br: 0.590 0.302 0.311
Br: 0.688 0.037 0.923
Br: 0.689 0.410 0.698
Br: 0.698 0.689 0.410
Br: 0.923 0.688 0.037
Br: 0.963 0.077 0.312

=====

No. 13
A plane-wave DFT calculation with PBE was carried out for TlSn3Br after structural relaxation.

Results
E above lowest polymorph   0.077 eV per atom
Symmetry   Pm-3m, No. 221
E_form (uncorrected)   0.537 eV/atom
Magnetic moment   0.00 μB/cell

Unit cell a=5.843 b=5.843 c=5.843 alpha=90.00 beta=90.00 gamma=90.00
Fractional positions:
Tl: 0.000 0.000 0.000
Sn: 0.000 0.000 0.500
Sn: 0.000 0.500 0.000
Sn: 0.500 0.000 0.000
Br: 0.500 0.500 0.500

=====

No. 14
A plane-wave DFT calculation with PBE was carried out for Tl2Sn2Br7 after structural relaxation.

Results
E above lowest polymorph   0.010 eV per atom
Symmetry   C2/m, No. 12
E_form (uncorrected)   -0.714 eV/atom
Magnetic moment   0.00 μB/cell

Unit cell a=7.771 b=7.771 c=7.124 alpha=94.78 beta=94.78 gamma=75.60
Fractional positions:
Tl: 0.238 0.762 0.000
Tl: 0.762 0.238 0.000
Sn: 0.239 0.239 0.519
Sn: 0.761 0.761 0.481
Br: 0.000 0.000 0.500
Br: 0.075 0.472 0.250
Br: 0.440 0.440 0.733
Br: 0.472 0.075 0.250
Br: 0.528 0.925 0.750
Br: 0.560 0.560 0.267
Br: 0.925 0.528 0.750

=====

No. 15
A plane-wave DFT calculation with PBE was carried out for Tl2SnBr3 after structural relaxation.

Results
Symmetry   Ibam, No. 72
E_form (uncorrected)   -0.637 eV/atom
Magnetic moment   0.00 μB/cell

Unit cell a=10.017 b=10.017 c=10.017 alpha=145.30 beta=57.89 gamma=135.18
Fractional positions:
Tl: 0.164 0.002 0.166
Tl: 0.336 0.502 0.837
Tl: 0.664 0.498 0.163
Tl: 0.836 0.998 0.834
Sn: 0.250 0.750 0.500
Sn: 0.750 0.250 0.500
Br: 0.078 0.750 0.328
Br: 0.250 0.250 0.000
Br: 0.422 0.750 0.672
Br: 0.578 0.250 0.328
Br: 0.750 0.750 0.000
Br: 0.922 0.250 0.672

=====

No. 16
A plane-wave DFT calculation with PBE was carried out for Tl3Sn2Br7 after structural relaxation.

Results
E above lowest polymorph   0.000 eV per atom
Symmetry   I4/mmm, No. 139
E_form (uncorrected)   -0.767 eV/atom
Magnetic moment   0.00 μB/cell

Unit cell a=14.516 b=14.516 c=14.516 alpha=156.77 beta=156.77 gamma=33.09
Fractional positions:
Tl: 0.000 0.000 0.000
Tl: 0.179 0.179 0.000
Tl: 0.821 0.821 0.000
Sn: 0.394 0.394 0.000
Sn: 0.606 0.606 0.000
Br: 0.100 0.600 0.500
Br: 0.290 0.290 0.000
Br: 0.400 0.900 0.500
Br: 0.500 0.500 0.000
Br: 0.600 0.100 0.500
Br: 0.710 0.710 0.000
Br: 0.900 0.400 0.500

=====

No. 17
A plane-wave DFT calculation with PBE was carried out for TlVSn2Br8 after structural relaxation.

Results
Symmetry   P-1, No. 2
E_form (uncorrected)   -0.770 eV/atom
Magnetic moment   2.00 μB/cell

Unit cell a=6.576 b=7.797 c=8.940 alpha=77.35 beta=74.22 gamma=87.28
Fractional positions:
Tl: 0.000 0.000 0.000
V: 0.000 0.000 0.500
Sn: 0.459 0.382 0.263
Sn: 0.541 0.618 0.737
Br: 0.182 0.712 0.595
Br: 0.199 0.174 0.620
Br: 0.246 0.618 0.025
Br: 0.307 0.066 0.236
Br: 0.693 0.934 0.764
Br: 0.754 0.382 0.975
Br: 0.801 0.826 0.380
Br: 0.818 0.288 0.405

=====

No. 18
A plane-wave DFT calculation with PBE was carried out for TlVSnBr6 after structural relaxation.

Results
Symmetry   P312, No. 149
E_form (uncorrected)   -0.826 eV/atom
Magnetic moment   2.00 μB/cell

Unit cell a=7.262 b=7.262 c=7.038 alpha=90.00 beta=90.00 gamma=120.00
Fractional positions:
Tl: 0.000 0.000 0.000
V: 0.667 0.333 0.500
Sn: 0.333 0.667 0.500
Br: 0.387 0.039 0.714
Br: 0.387 0.348 0.286
Br: 0.652 0.039 0.286
Br: 0.652 0.613 0.714
Br: 0.961 0.348 0.714
Br: 0.961 0.613 0.286

=====

No. 19
A plane-wave DFT calculation with PBE was carried out for YTlSn2Br8 after structural relaxation.

Results
Symmetry   P-1, No. 2
E_form (uncorrected)   -1.127 eV/atom
Magnetic moment   0.00 μB/cell

Unit cell a=6.849 b=7.240 c=9.091 alpha=89.95 beta=89.93 gamma=88.81
Fractional positions:
Y: 0.000 0.000 0.000
Tl: 0.000 0.000 0.500
Sn: 0.500 0.500 0.251
Sn: 0.500 0.500 0.749
Br: 0.237 0.318 0.000
Br: 0.243 0.842 0.219
Br: 0.243 0.842 0.781
Br: 0.274 0.368 0.501
Br: 0.726 0.632 0.499
Br: 0.757 0.158 0.219
Br: 0.757 0.158 0.781
Br: 0.763 0.682 0.000

=====

No. 20
A plane-wave DFT calculation with PBE was carried out for ZrTlSn2Br after structural relaxation.

Results
Symmetry   P4/mmm, No. 123
E_form (uncorrected)   0.823 eV/atom
Magnetic moment   1.34 μB/cell

Unit cell a=5.639 b=5.639 c=5.728 alpha=90.00 beta=90.00 gamma=90.00
Fractional positions:
Zr: 0.000 0.000 0.000
Tl: 0.000 0.000 0.500
Sn: 0.000 0.500 0.500
Sn: 0.500 0.000 0.500
Br: 0.500 0.500 0.000